No. 1
A plane-wave DFT calculation with PBE-GGA was carried out for an optimized crystal structure of SbP2Se.

```
SbP2Se
1.0
-3.994 1.460 -3.083
0.164 -3.137 -4.210
-0.533 -0.378 5.212
Sb Se P
1 1 2
direct
0.750 0.250 0.500
0.250 0.750 0.500
0.029 0.029 0.000
0.471 0.471 0.000
```

**Energy above the lowest structure with this stoichiometry**: 0.462 eV per atom
**D(E_F)**: 2.286 states/eV per cell
**E_tot**: -16.04 eV per formula unit
**Raw formation energy**: 0.597 eV per atom
**Spin magnetization**: 0.0 μB per cell
**Symmetry**: No. 71



No. 2
A plane-wave DFT calculation with PBE-GGA was carried out for an optimized crystal structure of Sb2PSe.

```
Sb2PSe
1.0
0.000 3.537 3.537
3.537 0.000 3.537
3.537 3.537 0.000
P Se Sb
1 1 2
direct
0.000 0.000 0.000
0.500 0.500 0.500
0.750 0.750 0.750
0.250 0.250 0.250
```

**Energy above the lowest structure with this stoichiometry**: 0.290 eV per atom
**D(E_F)**: 1.827 states/eV per cell
**E_tot**: -15.89 eV per formula unit
**Raw formation energy**: 0.311 eV per atom
**Spin magnetization**: 0.0 μB per cell
**Symmetry**: No. 225



> Which formula does entry 1 have?

SbP2Se